! SmNpSe2O (GGA-PBE, optimized geometry); values from VASP
! Calculated density in kg/m³: 7941
! Total magnetization in μB/cell: 7.4
! ΔE_f (raw) in meV per atom: -2092.1
&SYSTEM
  ibrav = 0, nat = 10, ntyp = 4
/
ATOMIC_SPECIES
Sm 150.36 Sm.upf
Np 237.00 Np.upf
Se 78.96 Se.upf
O 16.00 O.upf
ATOMIC_POSITIONS crystal
Sm 0.2500 0.2500 0.1248
Sm 0.7500 0.7500 0.8752
Np 0.2500 0.2500 0.5805
Np 0.7500 0.7500 0.4195
Se 0.2500 0.2500 0.3177
Se 0.2500 0.2500 0.9083
Se 0.7500 0.7500 0.0917
Se 0.7500 0.7500 0.6823
O 0.2500 0.7500 0.5000
O 0.7500 0.2500 0.5000
CELL_PARAMETERS angstrom
4.0217 0.0000 0.0000
0.0000 4.0217 0.0000
0.0000 0.0000 14.5134